Version a
SrVZnP2O8: optimized geometry, GGA+U.

Cell and atoms, written as POSCAR:
```
SrVZnP2O8
1.0
-3.5788 4.0762 -0.2880
-4.1070 -6.3769 -1.8511
-0.8599 1.1666 10.2200
Sr V Zn P O
2 2 2 4 16
direct
0.3047 0.7042 0.9955
0.6953 0.2958 0.0045
0.6139 0.7660 0.3369
0.3861 0.2340 0.6631
0.5398 0.9008 0.6936
0.4602 0.0992 0.3064
0.9630 0.0082 0.1560
0.0370 0.9918 0.8440
0.2219 0.4267 0.2144
0.7781 0.5733 0.7856
0.8087 0.5946 0.9410
0.2226 0.1878 0.2060
0.0943 0.0672 0.7102
0.4693 0.4975 0.7646
0.7774 0.8122 0.7940
0.9578 0.5697 0.5168
0.0422 0.4303 0.4832
0.6057 0.1732 0.7539
0.9057 0.9328 0.2898
0.3943 0.8268 0.2461
0.1913 0.4054 0.0590
0.5458 0.7836 0.5053
0.4542 0.2164 0.4947
0.7420 0.1104 0.1597
0.5307 0.5025 0.2354
0.2580 0.8896 0.8403
```

Properties
SG: P-1

Version b
SrVZnP2O8: optimized geometry, GGA+U.

Cell and atoms, written as POSCAR:
```
SrVZnP2O8
1.0
5.5451 0.0018 -0.0146
-0.9983 6.9364 -0.0017
-1.9390 -3.6978 8.5572
Sr V Zn P O
2 2 2 4 16
direct
0.2409 0.7963 0.0436
0.7591 0.2037 0.9564
0.6414 0.8501 0.5636
0.3586 0.1499 0.4364
0.9931 0.3785 0.6442
0.0069 0.6215 0.3558
0.3898 0.4209 0.2280
0.6102 0.5791 0.7720
0.8356 0.0199 0.2994
0.1645 0.9801 0.7006
0.7972 0.5516 0.9036
0.6671 0.4692 0.2161
0.6802 0.8029 0.7766
0.9630 0.1199 0.7020
0.3329 0.5308 0.7839
0.0047 0.7538 0.5800
0.9953 0.2462 0.4200
0.2721 0.9957 0.8653
0.3198 0.1971 0.2234
0.7279 0.0043 0.1347
0.2028 0.4484 0.0964
0.3608 0.5811 0.3870
0.6392 0.4189 0.6130
0.6205 0.9500 0.3664
0.0370 0.8801 0.2980
0.3795 0.0500 0.6336
```

Properties
D(E_F): 0.00 states/eV/cell
SG: P-1

The computed energies, referenced to the most stable structure and given in kJ/mol of atoms, are version a 55.6; version b 0.0.